Computed, not measured: an optimized crystal structure of Na2NpGaS4 at the PBE level of DFT.

Properties
SG = Pmn2_1, No. 31
volume = 411.68 Å³ per cell
raw formation energy = -8.0 eV/f.u.

abc: 5.7643 8.3211 8.5830
angles: 90.00 90.00 90.00
Each line ends with the local moment (μB).
Sites, in units of the cell vectors:
Na  0.4319  0.3510  0.2639  0.00
Na  0.4319  0.3510  0.7361  0.00
Na  0.9319  0.6490  0.7639  0.00
Na  0.9319  0.6490  0.2361  0.00
Np  0.9330  0.1357  0.5000  3.90
Np  0.4330  0.8643  0.0000  3.90
Ga  0.5143  0.8249  0.5000  0.01
Ga  0.0143  0.1751  0.0000  0.01
S  0.4120  0.1794  0.0000  -0.03
S  0.9120  0.8206  0.5000  -0.03
S  0.4272  0.1015  0.5000  -0.03
S  0.9272  0.8985  0.0000  -0.03
S  0.4249  0.6906  0.7306  -0.03
S  0.9249  0.3094  0.2306  -0.03
S  0.9249  0.3094  0.7694  -0.03
S  0.4249  0.6906  0.2694  -0.03